No. 1
The following is a PBE calculation of a geometry-optimized NdZnGe2Pt5 structure, from Alexandria via LeMat-Bulk.

Structure (CIF):
```
data_NdZnGe2Pt5
_chemical_formula_sum 'Nd1 Zn1 Ge2 Pt5'
_cell_length_a 4.259
_cell_length_b 4.259
_cell_length_c 9.082
_cell_angle_alpha 90.00
_cell_angle_beta 90.00
_cell_angle_gamma 90.00
_space_group_name_H-M_alt 'P 4/m m m'
_space_group_IT_number 123
_space_group_name_Hall '-P 4 2'
loop_
_atom_site_label
_atom_site_fract_x
_atom_site_fract_y
_atom_site_fract_z
Nd1 0.000 0.000 0.000
Zn1 0.000 0.000 0.500
Ge1 0.500 0.500 0.370
Pt1 0.000 0.500 0.235
Pt2 0.500 0.500 0.000
```

E	-0.204	Ha/atom
formation energy from the elements	-0.497	eV per atom
total magnetization	0.000	μB per cell

=====

No. 2
The following is a PBE calculation of a geometry-optimized Ac4Pb2SeBr structure, from Alexandria via LeMat-Bulk.

Structure (CIF):
```
data_Ac4Pb2SeBr
_chemical_formula_sum 'Ac4 Pb2 Se1 Br1'
_cell_length_a 7.866
_cell_length_b 4.821
_cell_length_c 8.358
_cell_angle_alpha 90.00
_cell_angle_beta 110.63
_cell_angle_gamma 90.00
_space_group_name_H-M_alt 'P 1 2/m 1'
_space_group_IT_number 10
loop_
_space_group_symop_operation_xyz
'x,y,z'
'-x,-y,-z'
'-x,y,-z'
'x,-y,z'
loop_
_atom_site_label
_atom_site_fract_x
_atom_site_fract_y
_atom_site_fract_z
Ac1 0.247 0.000 0.241
Ac2 0.252 0.500 0.758
Pb1 0.000 0.000 0.500
Pb2 0.000 0.500 0.000
Se1 0.500 0.000 0.000
Br1 0.500 0.500 0.500
```

E	-0.173	Ha/atom
total magnetization	0.000	μB per cell